18
Lattice="-2.825 2.413 -1.393 -4.270 -5.074 5.521 2.277 7.841 8.968" Properties=species:S:1:pos:R:3 comment="PBE Pr2SmMnS5, relaxed" dft_energy_ev_per_atom=-6.613 dos_at_fermi_per_ev_atom=0.35 total_magnetization_mub_per_fu=4.3 pbc="T T T"
Pr -3.771 4.917 10.514
Pr 0.233 4.508 7.336
Pr -0.616 1.750 4.281
Pr -5.319 -0.249 4.705
Sm -3.826 2.879 7.095
Sm -2.009 -1.199 1.997
Mn 0.147 8.089 8.065
Mn -4.167 -0.161 8.172
S -3.897 -2.543 3.497
S -1.546 6.524 8.786
S -3.880 2.096 11.501
S -1.838 3.088 9.078
S -5.762 1.498 8.629
S -1.981 4.075 5.425
S -2.774 0.374 6.274
S -0.925 3.129 1.646
S -3.255 1.146 2.935
S -0.119 0.025 0.284